(1)
This record from Alexandria describes a relaxed Ho4GaAg2Au crystal. The functional is PBE.

Structure (POSCAR):
```
Ho4GaAg2Au
1.0
2.5396 1.4662 8.3304
-2.5396 1.4662 8.3304
0.0000 -2.9324 8.3304
Ho Ga Ag Au
4 1 2 1
Direct
0.1240 0.1240 0.1240
0.3740 0.3740 0.3740
0.6260 0.6260 0.6260
0.8760 0.8760 0.8760
0.5000 0.5000 0.5000
0.2468 0.2468 0.2468
0.7532 0.7532 0.7532
0.0000 0.0000 0.0000
```

Values from the calculation:
Space-group type: R-3m
M_tot in μB per formula unit: 0.00
Calculated formation energy in eV per atom: -0.533
Fermi-level density of states in states/eV per cell: 5.85

---

(2)
This record from Alexandria describes a relaxed Tb6PmNdDy2 crystal. The functional is PBE.

Structure (POSCAR):
```
Tb6PmNdDy2
1.0
4.5603 -7.5468 0.0000
4.5603 7.5468 0.0000
-1.3018 0.0000 9.5635
Tb Pm Nd Dy
12 2 2 4
Direct
0.0236 0.5697 0.1815
0.1189 0.7496 0.5566
0.2504 0.8811 0.9434
0.2934 0.5075 0.3797
0.4303 0.9764 0.3185
0.4925 0.7066 0.1203
0.5075 0.2934 0.8797
0.5697 0.0236 0.6815
0.7066 0.4925 0.6203
0.7496 0.1189 0.0566
0.8811 0.2504 0.4434
0.9764 0.4303 0.8185
0.0254 0.9746 0.2500
0.9746 0.0254 0.7500
0.4068 0.5932 0.7500
0.5932 0.4068 0.2500
0.1945 0.2974 0.0450
0.2974 0.1945 0.5450
0.7026 0.8055 0.4550
0.8055 0.7026 0.9550
```

Values from the calculation:
Space-group type: C2/c
M_tot in μB per formula unit: 0.00
Calculated formation energy in eV per atom: 0.122
Fermi-level density of states in states/eV per cell: 30.06

---

(3)
This record from Alexandria describes a relaxed CoRePb2W crystal. The functional is PBE.

Structure (POSCAR):
```
CoRePb2W
1.0
5.3605 0.0000 0.0000
0.0000 5.3605 0.0000
0.0000 0.0000 4.7998
Co Re Pb W
1 1 2 1
Direct
0.0000 0.0000 0.0000
0.5000 0.5000 0.0000
0.0000 0.5000 0.5000
0.5000 0.0000 0.5000
0.5000 0.5000 0.5000
```

Values from the calculation:
Space-group type: P4/mmm
M_tot in μB per formula unit: 1.81
Calculated formation energy in eV per atom: 1.914
Fermi-level density of states in states/eV per cell: 7.40

---

no.,uncorrected energy (eV per atom)
1,-4.3230
2,-4.5284
3,-6.0709